# Ce2Er2Ni15 PBE optimized geometry
data_Ce2Er2Ni15
_chemical_formula_sum 'Ce2 Er2 Ni15'
_cell_length_a 6.463
_cell_length_b 6.463
_cell_length_c 6.463
_cell_angle_alpha 81.97
_cell_angle_beta 81.97
_cell_angle_gamma 81.97
_symmetry_space_group_name_H-M 'P 1'
_symmetry_Int_Tables_number 1
loop_
_symmetry_equiv_pos_as_xyz
'x,y,z'
loop_
_atom_site_label
_atom_site_type_symbol
_atom_site_fract_x
_atom_site_fract_y
_atom_site_fract_z
Ni1 Ni 0.321 0.000 0.679
Ni2 Ni 0.321 0.679 0.000
Ni3 Ni 0.000 0.679 0.321
Ni4 Ni 0.346 0.346 0.831
Ce1 Ce 0.892 0.892 0.892
Ni5 Ni 0.654 0.654 0.169
Er1 Er 0.364 0.364 0.364
Ni6 Ni 0.500 0.000 0.000
Ce2 Ce 0.108 0.108 0.108
Er2 Er 0.636 0.636 0.636
Ni7 Ni 0.000 0.000 0.500
Ni8 Ni 0.831 0.346 0.346
Ni9 Ni 0.346 0.831 0.346
Ni10 Ni 0.169 0.654 0.654
Ni11 Ni 0.679 0.321 0.000
Ni12 Ni 0.000 0.500 0.000
Ni13 Ni 0.000 0.321 0.679
Ni14 Ni 0.654 0.169 0.654
Ni15 Ni 0.679 0.000 0.321
# ΔE_f: -0.2768 eV per atom
# space-group type: R-3m